(1)
First-principles (PBE) data for an optimized crystal structure of ZrBeRu4, as listed in the Alexandria database.

Output
* spin magnetization: 0.0 μB/cell
* crystal system: cubic
* calculated volume: 376.51 Å³ per cell
* formation energy: 0.12 eV per atom

abc: 7.2209 7.2209 7.2209
angles: 90.00 90.00 90.00
Space group F-43m (No. 216)
Inequivalent atoms, fractional coordinates:
Zr 0.0000 0.0000 0.0000 [4 per cell]
Be 0.2500 0.2500 0.7500 [4 per cell]
Ru 0.1243 0.1243 0.3757 [16 per cell]


(2)
First-principles (PBE) data for an optimized crystal structure of ZrBeRu2, as listed in the Alexandria database.

Output
* spin magnetization: 0.0 μB/cell
* crystal system: trigonal
* calculated volume: 178.11 Å³ per cell
* formation energy: -0.08 eV per atom

abc: 3.1920 3.1920 20.1857
angles: 90.00 90.00 120.00
Space group R-3m (No. 166, hexagonal axes)
Inequivalent atoms, fractional coordinates:
Zr 0.0000 0.0000 0.0000 [3 per cell]
Be 0.0000 0.0000 0.5000 [3 per cell]
Ru 0.0000 0.0000 0.2328 [6 per cell]